This record from Alexandria describes KSrAg2 after structural relaxation. The functional is PBE.

Cell: 5.465 5.465 5.465 Å, 60.00 60.00 60.00°
Element x y z (fractional)
K 0.000 0.000 0.000
Sr 0.750 0.750 0.750
Ag 0.250 0.250 0.250
Ag 0.500 0.500 0.500

## Properties
crystal system = cubic
energy above the most stable polymorph in this dataset = 204 meV per atom
Fermi-level density of states = 0.81 states/eV/atom

This record from Alexandria describes KSrAg2 after structural relaxation. The functional is PBE.

Cell: 4.724 4.724 6.710 Å, 90.00 90.00 90.00°
Element x y z (fractional)
K 0.000 0.000 0.000
Sr 0.500 0.500 0.498
Ag 0.000 0.000 0.500
Ag 0.500 0.500 0.997

## Properties
crystal system = tetragonal
energy above the most stable polymorph in this dataset = 162 meV per atom
Fermi-level density of states = 0.56 states/eV/atom

The records above yield final energy values of -2.037, -2.078 eV per atom, respectively.
The records above yield volume values of 28.847, 37.442 A^3/atom, respectively.